# Dy3Pu3ScS8

Dy3Pu3ScS8 after structural relaxation (GGA-PBE, Alexandria via LeMat-Bulk).

Results
The value obtained for the calculated volume is 337.96 Å³/cell. As for the total energy: -8.3364 eV/atom. As for the uncorrected formation energy: -1.926 eV per atom.

Unit cell a=7.824 b=7.824 c=7.824 alpha=59.91 beta=59.91 gamma=59.91
Atoms (fractional coordinates):
Dy: 0.000 0.500 0.500
Dy: 0.500 0.000 0.500
Dy: 0.500 0.500 0.000
Pu: 0.000 0.000 0.500
Pu: 0.000 0.500 0.000
Pu: 0.500 0.000 0.000
Sc: 0.000 0.000 0.000
S: 0.241 0.241 0.756
S: 0.241 0.756 0.241
S: 0.244 0.759 0.759
S: 0.251 0.251 0.251
S: 0.749 0.749 0.749
S: 0.756 0.241 0.241
S: 0.759 0.244 0.759
S: 0.759 0.759 0.244

***

# Sc2SbAu

Sc2SbAu after structural relaxation (GGA-PBE, Alexandria via LeMat-Bulk).

Results
The value obtained for the calculated volume is 95.93 Å³/cell. As for the total energy: -5.7010 eV/atom. As for the uncorrected formation energy: -0.685 eV per atom.

Unit cell a=4.085 b=4.085 c=7.056 alpha=106.55 beta=106.55 gamma=59.59
Atoms (fractional coordinates):
Sc: 0.247 0.247 0.241
Sc: 0.753 0.753 0.759
Sb: 0.000 0.000 0.500
Au: 0.500 0.500 0.000

***

# Co2TcPt

Co2TcPt after structural relaxation (GGA-PBE, Alexandria via LeMat-Bulk).

Results
The value obtained for the calculated volume is 51.75 Å³/cell. As for the total energy: -7.6376 eV/atom.

Unit cell a=4.584 b=4.584 c=4.514 alpha=100.07 beta=100.07 gamma=33.70
Atoms (fractional coordinates):
Co: 0.000 0.000 0.000
Co: 0.741 0.741 0.233
Tc: 0.491 0.491 0.470
Pt: 0.247 0.247 0.741